Here is an optimized crystal structure of ScCr3As from the Alexandria database. Energies are from PBE-GGA.

Output
- Fermi-level density of states (states/eV/f.u.) = 3.81
- calculated volume (Å³ per atom) = 18.27
- ΔE_f (eV/f.u.) = 3.03
- total magnetic moment (μB/f.u.) = 6.206
- energy relative to the lowest polymorph listed for this composition (meV/atom) = 0

```
ScCr3As
1.0
4.504 0.000 0.000
0.000 4.504 0.000
0.000 0.000 4.504
Sc Cr As
1 3 1
direct
0.000 0.000 0.000 Sc
0.000 0.500 0.500 Cr
0.500 0.000 0.500 Cr
0.500 0.500 0.000 Cr
0.500 0.500 0.500 As
```